<A>
Hg2Pb: relaxed, PBE-GGA.

The structure in POSCAR format:
```
Hg2Pb
1.0
0.000 7.103 7.103
7.103 0.000 7.103
7.103 7.103 0.000
Hg Pb
16 8
Cartesian
0.000 0.000 0.000
3.552 3.552 0.000
3.552 0.000 3.552
5.327 5.327 2.745
5.327 2.745 5.327
7.910 5.327 5.327
8.879 8.879 6.296
8.879 6.296 8.879
11.462 8.879 8.879
0.000 3.552 3.552
2.745 5.327 5.327
5.327 7.910 5.327
5.327 5.327 7.910
6.296 8.879 8.879
8.879 11.462 8.879
8.879 8.879 11.462
11.135 6.623 6.623
3.072 3.072 3.072
7.583 7.583 3.072
7.583 3.072 7.583
6.623 11.135 6.623
6.623 6.623 11.135
11.135 11.135 11.135
3.072 7.583 7.583
```

Values from the calculation:
M_tot (μB/cell): 0.0
Density of states at the Fermi level (states/eV/cell): 17.95
Volume (A^3/atom): 29.87


<B>
Hg2Pb: relaxed, PBE-GGA.

The structure in POSCAR format:
```
Hg2Pb
1.0
4.894 0.000 0.000
0.000 4.894 0.000
0.000 0.000 7.971
Hg Pb
4 2
Cartesian
0.000 2.447 1.993
0.000 2.447 5.978
2.447 0.000 1.993
2.447 0.000 5.978
0.000 0.000 0.000
2.447 2.447 3.985
```

Values from the calculation:
M_tot (μB/cell): 0.0
Density of states at the Fermi level (states/eV/cell): 2.90
Volume (A^3/atom): 31.82


Most stable pick: <A>. Distance to second place: 38 meV/atom.


<A>
Hg2Pb: relaxed, PBE-GGA.

The structure in POSCAR format:
```
Hg2Pb
1.0
12.112 0.000 0.000
0.000 3.637 0.000
-2.134 0.000 7.608
Hg Pb
8 4
Cartesian
0.000 0.000 0.000
-1.057 0.000 3.830
1.175 1.818 2.578
2.740 0.000 5.027
6.056 1.818 0.000
4.999 1.818 3.830
7.231 0.000 2.578
8.796 1.818 5.027
0.341 1.818 6.268
3.604 0.000 1.390
6.397 0.000 6.268
9.660 1.818 1.390
```

Values from the calculation:
M_tot (μB/cell): 0.0
Density of states at the Fermi level (states/eV/cell): 3.90
Volume (A^3/atom): 27.93


<B>
Hg2Pb: relaxed, PBE-GGA.

The structure in POSCAR format:
```
Hg2Pb
1.0
3.451 0.000 0.000
0.000 3.472 0.000
0.000 0.000 28.347
Hg Pb
8 4
Cartesian
0.000 0.868 1.230
0.000 0.868 5.853
0.000 2.604 22.495
0.000 2.604 27.117
1.726 0.868 8.321
1.726 0.868 12.944
1.726 2.604 15.403
1.726 2.604 20.026
0.000 0.868 17.716
0.000 2.604 10.631
1.726 0.868 24.805
1.726 2.604 3.543
```

Values from the calculation:
M_tot (μB/cell): 0.0
Density of states at the Fermi level (states/eV/cell): 6.44
Volume (A^3/atom): 28.31


<C>
Hg2Pb: relaxed, PBE-GGA.

The structure in POSCAR format:
```
Hg2Pb
1.0
3.928 0.000 0.000
0.000 3.928 0.000
0.000 0.000 10.725
Hg Pb
4 2
Cartesian
0.000 0.000 1.854
0.000 0.000 8.871
1.964 1.964 3.508
1.964 1.964 7.217
0.000 0.000 5.363
1.964 1.964 0.000
```

Values from the calculation:
M_tot (μB/cell): 0.0
Density of states at the Fermi level (states/eV/cell): 2.48
Volume (A^3/atom): 27.58


<D>
Hg2Pb: relaxed, PBE-GGA.

The structure in POSCAR format:
```
Hg2Pb
1.0
7.230 0.000 0.000
0.000 7.230 0.000
0.000 0.000 6.843
Hg Pb
8 4
Cartesian
1.063 2.552 0.000
1.063 4.678 3.421
2.552 1.063 3.421
2.552 6.167 0.000
4.678 1.063 0.000
4.678 6.167 3.421
6.167 2.552 3.421
6.167 4.678 0.000
0.000 0.000 1.711
0.000 0.000 5.132
3.615 3.615 1.711
3.615 3.615 5.132
```

Values from the calculation:
M_tot (μB/cell): 0.0
Density of states at the Fermi level (states/eV/cell): 5.98
Volume (A^3/atom): 29.81


Most stable pick: <A>. Distance to second place: 9 meV/atom.


<A>
Hg5Pb3: relaxed, PBE-GGA.

The structure in POSCAR format:
```
Hg5Pb3
1.0
-6.098 6.098 3.091
6.098 -6.098 3.091
6.098 6.098 -3.091
Hg Pb
10 6
Cartesian
9.209 0.703 0.000
0.703 2.988 0.000
6.098 0.000 1.546
6.801 3.110 0.000
3.110 5.395 0.000
2.988 0.703 3.091
-0.703 2.988 3.091
0.000 6.098 1.546
5.395 3.110 3.091
-3.110 5.395 3.091
3.765 2.334 0.000
0.000 0.000 1.546
3.765 -2.334 3.091
2.334 8.432 0.000
0.000 0.000 4.637
2.334 3.765 3.091
```

Values from the calculation:
M_tot (μB/cell): 0.0
Density of states at the Fermi level (states/eV/cell): 7.00
Volume (A^3/atom): 28.74


<B>
Hg5Pb3: relaxed, PBE-GGA.

The structure in POSCAR format:
```
Hg5Pb3
1.0
5.061 0.000 0.000
0.000 5.087 0.000
0.000 0.000 17.760
Hg Pb
10 6
Cartesian
0.000 0.000 0.000
0.000 0.000 4.215
0.000 0.000 13.545
0.000 2.543 2.107
0.000 2.543 15.653
2.530 0.000 2.107
2.530 0.000 15.653
2.530 2.543 0.000
2.530 2.543 4.215
2.530 2.543 13.545
0.000 0.000 8.880
0.000 2.543 6.464
0.000 2.543 11.296
2.530 0.000 6.464
2.530 0.000 11.296
2.530 2.543 8.880
```

Values from the calculation:
M_tot (μB/cell): 0.0
Density of states at the Fermi level (states/eV/cell): 5.77
Volume (A^3/atom): 28.57


Most stable pick: <B>. Distance to second place: 57 meV/atom.


<A>
Hg5Pb6: relaxed, PBE-GGA.

The structure in POSCAR format:
```
Hg5Pb6
1.0
5.524 0.000 0.000
-2.586 5.862 0.000
0.000 -0.582 9.710
Hg Pb
5 6
Cartesian
0.000 0.000 0.000
0.095 2.540 8.952
0.136 4.034 5.283
2.801 1.246 4.427
2.842 2.740 0.758
0.013 0.864 6.179
0.069 1.974 2.680
0.175 5.382 1.707
2.762 -0.102 8.003
2.868 3.306 7.030
2.924 4.416 3.531
```

Values from the calculation:
M_tot (μB/cell): 0.0
Density of states at the Fermi level (states/eV/cell): 3.44
Volume (A^3/atom): 28.59


<B>
Hg5Pb6: relaxed, PBE-GGA.

The structure in POSCAR format:
```
Hg5Pb6
1.0
4.104 -6.502 0.000
4.104 6.502 0.000
-1.782 0.000 6.143
Hg Pb
5 6
Cartesian
0.000 0.000 0.000
3.213 4.651 3.072
4.104 3.105 0.000
4.104 -3.105 0.000
3.213 -4.651 3.072
2.021 1.699 1.899
1.249 0.000 4.825
2.021 -1.699 1.899
4.405 1.699 4.244
5.177 0.000 1.318
4.405 -1.699 4.244
```

Values from the calculation:
M_tot (μB/cell): 0.0
Density of states at the Fermi level (states/eV/cell): 4.42
Volume (A^3/atom): 29.81


Most stable pick: <A>. Distance to second place: 35 meV/atom.


<A>
Hg2Pd8Pb: relaxed, PBE-GGA.

The structure in POSCAR format:
```
Hg2Pd8Pb
1.0
7.304 -2.086 0.000
7.304 2.086 0.000
-1.618 0.000 6.144
Hg Pd Pb
2 8 1
Cartesian
3.018 0.000 0.905
9.972 0.000 5.239
0.239 0.000 1.372
0.930 0.000 4.200
3.729 0.000 3.618
5.914 0.000 0.264
7.076 0.000 5.880
9.260 0.000 2.526
12.060 0.000 1.944
12.751 0.000 4.772
6.495 0.000 3.072
```

Values from the calculation:
M_tot (μB/cell): 0.0
Density of states at the Fermi level (states/eV/cell): 4.85
Volume (A^3/atom): 17.02


<B>
Hg2Pd8Pb: relaxed, PBE-GGA.

The structure in POSCAR format:
```
Hg2Pd8Pb
1.0
-2.038 4.002 6.072
2.038 -4.002 6.072
2.038 4.002 -6.072
Hg Pd Pb
2 8 1
Cartesian
0.000 0.000 1.867
0.000 0.000 10.278
2.038 2.024 -2.049
0.000 2.055 0.000
2.038 0.000 3.974
2.038 2.024 2.049
0.000 1.977 4.024
0.000 4.002 2.098
0.000 5.949 0.000
0.000 1.977 8.121
0.000 0.000 6.072
```

Values from the calculation:
M_tot (μB/cell): 0.0
Density of states at the Fermi level (states/eV/cell): 9.18
Volume (A^3/atom): 18.00


Most stable pick: <A>. Distance to second place: 60 meV/atom.


<A>
Hg2Pd3Pb2: relaxed, PBE-GGA.

The structure in POSCAR format:
```
Hg2Pd3Pb2
1.0
8.601 0.000 0.000
0.000 4.504 0.000
-3.446 0.000 7.791
Hg Pd Pb
4 6 4
Cartesian
-0.110 0.000 2.927
0.965 2.252 4.864
4.190 2.252 2.927
5.265 0.000 4.864
-1.723 2.252 3.895
-0.627 0.000 5.789
1.481 2.252 2.002
2.578 0.000 3.895
3.674 2.252 5.789
5.782 0.000 2.002
-2.104 2.252 6.820
2.959 0.000 0.971
2.197 0.000 6.820
7.259 2.252 0.971
```

Values from the calculation:
M_tot (μB/cell): 0.0
Density of states at the Fermi level (states/eV/cell): 5.33
Volume (A^3/atom): 21.56


<B>
Hg2Pd3Pb2: relaxed, PBE-GGA.

The structure in POSCAR format:
```
Hg2Pd3Pb2
1.0
3.398 0.000 0.000
0.026 6.475 0.000
1.663 0.525 7.179
Hg Pd Pb
2 3 2
Cartesian
0.858 2.767 2.315
4.228 4.233 4.865
0.831 0.262 3.590
2.525 4.893 7.104
2.561 2.107 0.075
2.528 0.983 5.716
2.558 6.017 1.463
```

Values from the calculation:
M_tot (μB/cell): 0.0
Density of states at the Fermi level (states/eV/cell): 3.01
Volume (A^3/atom): 22.56


Most stable pick: <A>. Distance to second place: 66 meV/atom.